Here is a relaxed structure of CaCr4Te from Alexandria. Energies are from GGA-PBE.

a = 5.0819 Å, b = 5.0819 Å, c = 5.0819 Å
α = 60.00°, β = 60.00°, γ = 60.00°
Fractional coordinates of all 6 atoms:
Ca  0.0000  0.0000  0.0000
Cr  0.1289  0.6237  0.6237
Cr  0.6237  0.1289  0.6237
Cr  0.6237  0.6237  0.1289
Cr  0.6237  0.6237  0.6237
Te  0.2500  0.2500  0.2500

Crystal system: cubic
Raw formation energy (eV per atom): 0.559


Here is a relaxed structure of B2C from Alexandria. Energies are from GGA-PBE.

a = 2.5189 Å, b = 2.5189 Å, c = 15.0777 Å
α = 90.00°, β = 90.00°, γ = 120.00°
Fractional coordinates of all 12 atoms:
B  0.0000  0.0000  0.2194
B  0.0000  0.0000  0.7806
B  0.3333  0.6667  0.4647
B  0.3333  0.6667  0.8526
B  0.3333  0.6667  0.9638
B  0.6667  0.3333  0.0362
B  0.6667  0.3333  0.1474
B  0.6667  0.3333  0.5353
C  0.0000  0.0000  0.3244
C  0.0000  0.0000  0.6756
C  0.3333  0.6667  0.3598
C  0.6667  0.3333  0.6402

Distance to the lowest polymorph of the same formula (eV per atom): 0.289
Formation energy (eV/atom): 0.474
Crystal system: trigonal


Here is a relaxed structure of Rb3DyP2O8 from Alexandria. Energies are from GGA-PBE.

a = 5.7444 Å, b = 5.7444 Å, c = 8.2613 Å
α = 90.00°, β = 90.00°, γ = 120.00°
Fractional coordinates of all 14 atoms:
Rb  0.0000  0.0000  0.0000
Rb  0.3333  0.6667  0.7574
Rb  0.6667  0.3333  0.2426
Dy  0.0000  0.0000  0.5000
P  0.3333  0.6667  0.2762
P  0.6667  0.3333  0.7238
O  0.1854  0.3708  0.3415
O  0.1854  0.8146  0.3415
O  0.3333  0.6667  0.0911
O  0.3708  0.1854  0.6585
O  0.6292  0.8146  0.3415
O  0.6667  0.3333  0.9089
O  0.8146  0.1854  0.6585
O  0.8146  0.6292  0.6585

Crystal system: trigonal
Raw formation energy (eV per atom): -2.569


Here is a relaxed structure of InCuNiAg from Alexandria. Energies are from GGA-PBE.

a = 4.4270 Å, b = 4.4270 Å, c = 4.4270 Å
α = 60.00°, β = 60.00°, γ = 60.00°
Fractional coordinates of all 4 atoms:
In  0.0000  0.0000  0.0000
Cu  0.7500  0.7500  0.7500
Ni  0.2500  0.2500  0.2500
Ag  0.5000  0.5000  0.5000

Formation energy (eV/atom): 0.038
Crystal system: cubic


Here is a relaxed structure of Ce2ScHg from Alexandria. Energies are from GGA-PBE.

a = 4.3466 Å, b = 4.3466 Å, c = 5.2149 Å
α = 90.00°, β = 90.00°, γ = 90.00°
Fractional coordinates of all 4 atoms:
Ce  0.0000  0.5000  0.0000
Ce  0.5000  0.0000  0.0000
Sc  0.0000  0.0000  0.5000
Hg  0.5000  0.5000  0.5000

Distance to the lowest polymorph of the same formula (eV per atom): 0.000
Formation energy (eV/atom): -0.142
Crystal system: tetragonal


Here is a relaxed structure of Rb3Ho2TiSe6 from Alexandria. Energies are from GGA-PBE.

a = 7.1434 Å, b = 7.1434 Å, c = 8.3109 Å
α = 98.27°, β = 98.27°, γ = 119.99°
Fractional coordinates of all 12 atoms:
Rb  0.0000  0.0000  0.0000
Rb  0.3293  0.6707  0.0000
Rb  0.6707  0.3293  0.0000
Ho  0.1662  0.8338  0.5000
Ho  0.8338  0.1662  0.5000
Ti  0.5000  0.5000  0.5000
Se  0.1215  0.4369  0.3106
Se  0.2483  0.2483  0.6910
Se  0.4369  0.1215  0.3106
Se  0.5631  0.8785  0.6894
Se  0.7517  0.7517  0.3090
Se  0.8785  0.5631  0.6894

Crystal system: monoclinic
Raw formation energy (eV per atom): -1.508


What did the second record say?
Here is a relaxed structure of B2C from Alexandria. Energies are from GGA-PBE.

a = 2.5189 Å, b = 2.5189 Å, c = 15.0777 Å
α = 90.00°, β = 90.00°, γ = 120.00°
Fractional coordinates of all 12 atoms:
B  0.0000  0.0000  0.2194
B  0.0000  0.0000  0.7806
B  0.3333  0.6667  0.4647
B  0.3333  0.6667  0.8526
B  0.3333  0.6667  0.9638
B  0.6667  0.3333  0.0362
B  0.6667  0.3333  0.1474
B  0.6667  0.3333  0.5353
C  0.0000  0.0000  0.3244
C  0.0000  0.0000  0.6756
C  0.3333  0.6667  0.3598
C  0.6667  0.3333  0.6402

Distance to the lowest polymorph of the same formula (eV per atom): 0.289
Formation energy (eV/atom): 0.474
Crystal system: trigonal


Please write out number 5 again, unchanged.
Here is a relaxed structure of Ce2ScHg from Alexandria. Energies are from GGA-PBE.

a = 4.3466 Å, b = 4.3466 Å, c = 5.2149 Å
α = 90.00°, β = 90.00°, γ = 90.00°
Fractional coordinates of all 4 atoms:
Ce  0.0000  0.5000  0.0000
Ce  0.5000  0.0000  0.0000
Sc  0.0000  0.0000  0.5000
Hg  0.5000  0.5000  0.5000

Distance to the lowest polymorph of the same formula (eV per atom): 0.000
Formation energy (eV/atom): -0.142
Crystal system: tetragonal